# La4Nd5Tm2

A relaxed structure of La4Nd5Tm2 (GGA-PBE, Alexandria via LeMat-Bulk).

Lattice parameters (Å, degrees): 3.5988 11.9126 9.1880 94.01 101.29 90.00
Fractional coordinates of all 11 atoms:
La: 0.3578 0.2059 0.7157
La: 0.9586 0.7366 0.9172
La: 0.6422 0.7941 0.2843
La: 0.0414 0.2634 0.0828
Nd: 0.9035 0.4614 0.8069
Nd: 0.0965 0.5386 0.1931
Nd: 0.8208 0.9255 0.6415
Nd: 0.5000 0.0000 0.0000
Nd: 0.1792 0.0745 0.3585
Tm: 0.7169 0.3641 0.4338
Tm: 0.2831 0.6359 0.5662

Summary:
Size of the total moment   0.0 μB per formula unit
Formation enthalpy at 0 K   77.9 meV per atom